(1)
Crystalline HoPaGaO6 at its relaxed geometry. Source: Alexandria, functional PBE.

Calculated values
Raw formation energy ... -2.724 eV/atom
Symmetry ... P312, No. 149
Crystal system ... trigonal

Cell lengths 4.7817, 5.4066, 5.4066 Å; angles 120.00, 90.00, 90.00 degrees
Closest atoms and distances in Å follow each position.
Fractional coordinates of all 9 atoms:
Ho  0.5000  0.6667  0.3333  6 O 2.24
Pa  0.0000  0.3333  0.6667  6 O 2.19
O  0.7377  0.0176  0.3198  1 Ga 2.03, 1 Pa 2.19, 1 Ho 2.24
O  0.7377  0.3022  0.9824  1 Ga 2.03, 1 Pa 2.19, 1 Ho 2.24
O  0.2623  0.3022  0.3198  1 Ga 2.03, 1 Pa 2.19, 1 Ho 2.24
O  0.2623  0.0176  0.6978  1 Ga 2.03, 1 Pa 2.19, 1 Ho 2.24
O  0.2623  0.6802  0.9824  1 Ga 2.03, 1 Pa 2.19, 1 Ho 2.24
O  0.7377  0.6802  0.6978  1 Ga 2.03, 1 Pa 2.19, 1 Ho 2.24
Ga  0.5000  0.0000  0.0000  6 O 2.03

***

(2)
Crystalline LiGaCoAg at its relaxed geometry. Source: Alexandria, functional PBE.

Calculated values
ΔE_f ... -40.2 meV/atom
Symmetry ... F-43m, No. 216
Crystal system ... cubic

Cell lengths 4.2602, 4.2602, 4.2602 Å; angles 60.00, 60.00, 60.00 degrees
Closest atoms and distances in Å follow each position.
Fractional coordinates of all 4 atoms:
Ga  0.5000  0.5000  0.5000  4 Ag 2.61, 4 Co 2.61
Ag  0.2500  0.2500  0.2500  4 Li 2.61, 4 Ga 2.61
Co  0.7500  0.7500  0.7500  4 Ga 2.61, 4 Li 2.61
Li  0.0000  0.0000  0.0000  4 Co 2.61, 4 Ag 2.61

***

(3)
Crystalline La3Nd5Y2 at its relaxed geometry. Source: Alexandria, functional PBE.

Calculated values
ΔE_f ... 160.4 meV/atom
Symmetry ... C2/c, No. 15
Crystal system ... monoclinic

Cell lengths 10.2827, 10.2242, 11.3774 Å; angles 129.59, 129.71, 65.41 degrees
Closest atoms and distances in Å follow each position.
Fractional coordinates of all 20 atoms:
La  0.2781  0.5324  0.7521  1 Y 3.35, 5 Nd 3.39-3.61, 1 La 3.52
La  0.9740  0.2197  0.7521  1 Y 3.35, 5 Nd 3.39-3.61, 1 La 3.52
La  0.7752  0.0252  0.0505  1 Nd 3.11, 2 Y 3.45
La  0.0260  0.7803  0.2479  1 Y 3.35, 5 Nd 3.39-3.61, 1 La 3.52
La  0.7219  0.4676  0.2479  1 Y 3.35, 5 Nd 3.39-3.61, 1 La 3.52
La  0.2248  0.9748  0.9495  1 Nd 3.11, 2 Y 3.45
Nd  0.5242  0.2742  0.5483  1 Nd 3.08, 2 Y 3.41
Nd  0.9849  0.2349  0.4698  3 La 3.11-3.39
Nd  0.1378  0.3793  0.2543  3 Nd 3.48-3.55, 2 La 3.54-3.81, 2 Y 3.73-3.82
Nd  0.4758  0.7258  0.4517  1 Nd 3.08, 2 Y 3.41
Nd  0.0151  0.7651  0.5302  3 La 3.11-3.39
Nd  0.3835  0.1250  0.7457  3 Nd 3.48-3.55, 2 La 3.54-3.81, 2 Y 3.73-3.82
Nd  0.2682  0.5182  0.0364  1 Nd 3.08, 2 La 3.39
Nd  0.8622  0.6207  0.7457  3 Nd 3.48-3.55, 2 La 3.54-3.81, 2 Y 3.73-3.82
Nd  0.7318  0.4818  0.9636  1 Nd 3.08, 2 La 3.39
Nd  0.6165  0.8750  0.2543  3 Nd 3.48-3.55, 2 La 3.54-3.81, 2 Y 3.73-3.82
Y  0.2230  0.9776  0.2535  3 La 3.35-3.57, 5 Nd 3.41-3.73
Y  0.4696  0.7241  0.7465  3 La 3.35-3.57, 5 Nd 3.41-3.73
Y  0.7770  0.0224  0.7465  3 La 3.35-3.57, 5 Nd 3.41-3.73
Y  0.5304  0.2759  0.2535  3 La 3.35-3.57, 5 Nd 3.41-3.73

***

| no. | E_tot (eV per atom) |
| --- | --- |
| 1 | -7.9297 |
| 2 | -3.7646 |
| 3 | -4.9946 |